[1]
First-principles (PBE) data for an optimized crystal structure of Pr3Tm2Zn2, as listed in the Alexandria database. Values from VASP.

Output
**ΔE_f**: -0.070 eV per atom
**Spin magnetization**: 0.00 μB/f.u.
**Raw total energy**: -3.760 eV per atom

Quantum ESPRESSO input file:
```
&SYSTEM
  ibrav = 0, nat = 7, ntyp = 3
/
ATOMIC_SPECIES
Pr 140.91 Pr.upf
Tm 168.93 Tm.upf
Zn 65.41 Zn.upf
CELL_PARAMETERS angstrom
-3.016 -2.066 0.082
1.872 -2.673 1.538
-4.978 4.590 14.037
ATOMIC_POSITIONS crystal
Pr 0.000 0.000 0.000
Tm 0.703 0.500 0.593
Pr 0.123 0.000 0.754
Zn 0.561 0.500 0.877
Tm 0.297 0.500 0.407
Pr 0.877 0.000 0.246
Zn 0.439 0.500 0.123
```

=====

[2]
First-principles (PBE) data for an optimized crystal structure of Pr2TmZn, as listed in the Alexandria database. Values from VASP.

Output
**ΔE_f**: 0.011 eV per atom
**Spin magnetization**: 0.00 μB/f.u.
**Raw total energy**: -3.816 eV per atom

Quantum ESPRESSO input file:
```
&SYSTEM
  ibrav = 0, nat = 4, ntyp = 3
/
ATOMIC_SPECIES
Pr 140.91 Pr.upf
Zn 65.41 Zn.upf
Tm 168.93 Tm.upf
CELL_PARAMETERS angstrom
-2.640 2.019 4.333
-5.459 -0.020 0.124
-2.641 -3.361 3.398
ATOMIC_POSITIONS crystal
Pr 0.250 0.250 0.250
Zn 0.500 0.500 0.500
Pr 0.750 0.750 0.750
Tm 0.000 0.000 0.000
```

=====

[3]
First-principles (PBE) data for an optimized crystal structure of Pr3TmZn4, as listed in the Alexandria database. Values from VASP.

Output
**ΔE_f**: -0.304 eV per atom
**Spin magnetization**: 0.00 μB/f.u.
**Raw total energy**: -3.293 eV per atom

Quantum ESPRESSO input file:
```
&SYSTEM
  ibrav = 0, nat = 8, ntyp = 3
/
ATOMIC_SPECIES
Zn 65.41 Zn.upf
Pr 140.91 Pr.upf
Tm 168.93 Tm.upf
CELL_PARAMETERS angstrom
3.652 0.000 0.000
0.000 3.652 0.000
0.000 0.000 14.761
ATOMIC_POSITIONS crystal
Zn 0.000 0.000 0.374
Pr 0.500 0.500 0.243
Zn 0.000 0.000 0.626
Zn 0.000 0.000 0.108
Tm 0.500 0.500 0.000
Zn 0.000 0.000 0.892
Pr 0.500 0.500 0.757
Pr 0.500 0.500 0.500
```

=====

[4]
First-principles (PBE) data for an optimized crystal structure of Pr2TmZn6, as listed in the Alexandria database. Values from VASP.

Output
**ΔE_f**: -0.343 eV per atom
**Spin magnetization**: 0.00 μB/f.u.
**Raw total energy**: -2.751 eV per atom

Quantum ESPRESSO input file:
```
&SYSTEM
  ibrav = 0, nat = 9, ntyp = 3
/
ATOMIC_SPECIES
Pr 140.91 Pr.upf
Zn 65.41 Zn.upf
Tm 168.93 Tm.upf
CELL_PARAMETERS angstrom
-2.378 -1.299 -2.326
-2.181 -5.450 5.272
-3.645 6.995 -0.179
ATOMIC_POSITIONS crystal
Pr 0.000 0.333 0.667
Zn 0.500 0.000 0.673
Zn 0.500 0.327 0.000
Tm 0.000 0.000 0.000
Zn 0.500 0.000 0.327
Zn 0.500 0.673 0.000
Pr 0.000 0.667 0.333
Zn 0.500 0.673 0.673
Zn 0.500 0.327 0.327
```

=====

[5]
First-principles (PBE) data for an optimized crystal structure of PrTm3Zn, as listed in the Alexandria database. Values from VASP.

Output
**ΔE_f**: 0.044 eV per atom
**Spin magnetization**: 0.00 μB/f.u.
**Raw total energy**: -3.850 eV per atom

Quantum ESPRESSO input file:
```
&SYSTEM
  ibrav = 0, nat = 10, ntyp = 3
/
ATOMIC_SPECIES
Tm 168.93 Tm.upf
Pr 140.91 Pr.upf
Zn 65.41 Zn.upf
CELL_PARAMETERS angstrom
-6.802 1.974 2.973
-0.238 -2.474 -7.268
3.447 -5.542 2.941
ATOMIC_POSITIONS crystal
Tm 0.829 0.116 0.349
Tm 0.233 0.520 0.349
Tm 0.767 0.480 0.651
Pr 0.749 0.053 0.801
Pr 0.251 0.947 0.199
Tm 0.309 0.579 0.888
Tm 0.171 0.884 0.651
Zn 0.338 0.276 0.614
Zn 0.662 0.724 0.386
Tm 0.691 0.421 0.112
```

=====

[6]
First-principles (PBE) data for an optimized crystal structure of Pr5Tm4Zn, as listed in the Alexandria database. Values from VASP.

Output
**ΔE_f**: -0.036 eV per atom
**Spin magnetization**: 0.00 μB/f.u.
**Raw total energy**: -4.342 eV per atom

Quantum ESPRESSO input file:
```
&SYSTEM
  ibrav = 0, nat = 10, ntyp = 3
/
ATOMIC_SPECIES
Zn 65.41 Zn.upf
Pr 140.91 Pr.upf
Tm 168.93 Tm.upf
CELL_PARAMETERS angstrom
-1.856 -1.667 2.686
3.159 -1.087 1.509
0.709 19.765 12.756
ATOMIC_POSITIONS crystal
Zn 0.000 0.000 0.000
Pr 0.500 0.500 0.921
Tm 0.000 0.000 0.396
Pr 0.500 0.500 0.291
Pr 0.500 0.500 0.500
Tm 0.000 0.000 0.604
Pr 0.500 0.500 0.709
Tm 0.000 0.000 0.813
Tm 0.000 0.000 0.187
Pr 0.500 0.500 0.079
```

=====

[7]
First-principles (PBE) data for an optimized crystal structure of Pr2TmZn, as listed in the Alexandria database. Values from VASP.

Output
**ΔE_f**: -0.153 eV per atom
**Spin magnetization**: 0.00 μB/f.u.
**Raw total energy**: -3.979 eV per atom

Quantum ESPRESSO input file:
```
&SYSTEM
  ibrav = 0, nat = 8, ntyp = 3
/
ATOMIC_SPECIES
Pr 140.91 Pr.upf
Zn 65.41 Zn.upf
Tm 168.93 Tm.upf
CELL_PARAMETERS angstrom
4.965 0.000 -1.377
-0.382 4.950 -1.377
-0.041 -0.045 9.490
ATOMIC_POSITIONS crystal
Pr 0.355 0.355 0.709
Pr 0.500 0.000 0.000
Zn 0.250 0.750 0.500
Zn 0.750 0.250 0.500
Tm 0.849 0.849 0.699
Pr 0.645 0.645 0.291
Pr 0.000 0.500 0.000
Tm 0.151 0.151 0.301
```

=====

[8]
First-principles (PBE) data for an optimized crystal structure of Pr2Tm3Zn3, as listed in the Alexandria database. Values from VASP.

Output
**ΔE_f**: -0.219 eV per atom
**Spin magnetization**: 0.00 μB/f.u.
**Raw total energy**: -3.568 eV per atom

Quantum ESPRESSO input file:
```
&SYSTEM
  ibrav = 0, nat = 8, ntyp = 3
/
ATOMIC_SPECIES
Tm 168.93 Tm.upf
Zn 65.41 Zn.upf
Pr 140.91 Pr.upf
CELL_PARAMETERS angstrom
-2.464 -0.684 2.599
0.591 -4.998 -0.755
8.879 2.651 6.557
ATOMIC_POSITIONS crystal
Tm 0.387 0.387 0.774
Zn 0.891 0.891 0.783
Zn 0.109 0.109 0.217
Tm 0.500 0.000 0.000
Pr 0.274 0.774 0.548
Zn 0.000 0.500 0.000
Tm 0.613 0.613 0.226
Pr 0.726 0.226 0.452
```

=====

[9]
First-principles (PBE) data for an optimized crystal structure of Pr3Tm2Zn3, as listed in the Alexandria database. Values from VASP.

Output
**ΔE_f**: -0.228 eV per atom
**Spin magnetization**: 0.00 μB/f.u.
**Raw total energy**: -3.616 eV per atom

Quantum ESPRESSO input file:
```
&SYSTEM
  ibrav = 0, nat = 8, ntyp = 3
/
ATOMIC_SPECIES
Tm 168.93 Tm.upf
Zn 65.41 Zn.upf
Pr 140.91 Pr.upf
CELL_PARAMETERS angstrom
-0.642 -3.321 1.416
-1.998 -1.613 -4.689
11.234 -0.774 -1.474
ATOMIC_POSITIONS crystal
Tm 0.269 0.769 0.539
Tm 0.731 0.231 0.461
Zn 0.879 0.879 0.757
Pr 0.379 0.379 0.759
Zn 0.121 0.121 0.243
Zn 0.000 0.500 0.000
Pr 0.500 0.000 0.000
Pr 0.621 0.621 0.241
```

=====

[10]
First-principles (PBE) data for an optimized crystal structure of Pr3TmZn8, as listed in the Alexandria database. Values from VASP.

Output
**ΔE_f**: -0.310 eV per atom
**Spin magnetization**: 0.00 μB/f.u.
**Raw total energy**: -2.726 eV per atom

Quantum ESPRESSO input file:
```
&SYSTEM
  ibrav = 0, nat = 12, ntyp = 3
/
ATOMIC_SPECIES
Zn 65.41 Zn.upf
Pr 140.91 Pr.upf
Tm 168.93 Tm.upf
CELL_PARAMETERS angstrom
-0.314 -3.622 -4.223
1.103 -5.393 0.867
-8.464 -4.482 0.798
ATOMIC_POSITIONS crystal
Zn 0.934 0.437 0.192
Pr 0.499 0.499 0.502
Zn 0.442 0.937 0.683
Zn 0.937 0.937 0.683
Zn 0.688 0.688 0.937
Pr 0.000 0.000 0.999
Pr 0.374 0.374 0.877
Zn 0.437 0.437 0.192
Zn 0.437 0.934 0.192
Tm 0.876 0.876 0.373
Zn 0.937 0.442 0.683
Zn 0.187 0.187 0.438
```

=====

[11]
First-principles (PBE) data for an optimized crystal structure of PrTmZn17, as listed in the Alexandria database. Values from VASP.

Output
**ΔE_f**: -0.233 eV per atom
**Spin magnetization**: 0.00 μB/f.u.
**Raw total energy**: -1.859 eV per atom

Quantum ESPRESSO input file:
```
&SYSTEM
  ibrav = 0, nat = 19, ntyp = 3
/
ATOMIC_SPECIES
Zn 65.41 Zn.upf
Pr 140.91 Pr.upf
Tm 168.93 Tm.upf
CELL_PARAMETERS angstrom
6.760 0.028 0.829
0.737 6.720 0.829
0.031 0.028 6.811
ATOMIC_POSITIONS crystal
Zn 0.703 0.002 0.294
Zn 0.703 0.294 0.002
Zn 0.502 0.998 0.998
Zn 0.294 0.002 0.703
Zn 0.998 0.502 0.998
Zn 0.645 0.645 0.166
Zn 0.903 0.903 0.903
Zn 0.998 0.998 0.502
Zn 0.002 0.294 0.703
Pr 0.664 0.664 0.664
Zn 0.294 0.703 0.002
Zn 0.645 0.166 0.645
Zn 0.102 0.102 0.102
Tm 0.335 0.335 0.335
Zn 0.350 0.843 0.350
Zn 0.166 0.645 0.645
Zn 0.843 0.350 0.350
Zn 0.350 0.350 0.843
Zn 0.002 0.703 0.294
```

=====

[12]
First-principles (PBE) data for an optimized crystal structure of Pr5TmZn6, as listed in the Alexandria database. Values from VASP.

Output
**ΔE_f**: -0.301 eV per atom
**Spin magnetization**: 0.00 μB/f.u.
**Raw total energy**: -3.302 eV per atom

Quantum ESPRESSO input file:
```
&SYSTEM
  ibrav = 0, nat = 12, ntyp = 3
/
ATOMIC_SPECIES
Zn 65.41 Zn.upf
Pr 140.91 Pr.upf
Tm 168.93 Tm.upf
CELL_PARAMETERS angstrom
4.918 -0.029 1.639
0.040 7.368 0.013
-0.020 -0.015 8.260
ATOMIC_POSITIONS crystal
Zn 0.500 0.239 0.000
Zn 0.839 0.758 0.322
Pr 0.335 0.000 0.330
Pr 0.330 0.500 0.339
Zn 0.839 0.242 0.322
Tm 0.000 0.000 0.000
Pr 0.000 0.500 0.000
Pr 0.670 0.500 0.661
Zn 0.161 0.242 0.678
Pr 0.665 0.000 0.670
Zn 0.161 0.758 0.678
Zn 0.500 0.761 0.000
```